[1]
Compound: Tl2SiRu
Source: the Alexandria database
Functional: PBE-GGA
Structure: optimized geometry

Output
Energy relative to the lowest polymorph listed for this composition in eV/atom: 0.037
Uncorrected formation energy in eV/atom: 0.08
Symmetry: Immm (71)
Total energy in eV per cell: -19.11

abc: 8.312 8.312 3.849
angles: 76.60 76.60 20.71
Sites, in units of the cell vectors:
Ru  0.750  0.750  0.750
Si  0.250  0.250  0.250
Tl  0.081  0.081  0.919
Tl  0.419  0.419  0.581

=====

[2]
Compound: Er2Be4CuPt3
Source: the Alexandria database
Functional: PBE-GGA
Structure: optimized geometry

Output
Symmetry: P-4m2 (115)
Total energy in eV per cell: -53.75
Formation energy from the elements in eV/atom: -0.751

abc: 3.971 3.971 9.449
angles: 90.00 90.00 90.00
Sites, in units of the cell vectors:
Er  0.500  0.000  0.251
Er  0.000  0.500  0.749
Be  0.500  0.500  0.000
Be  0.000  0.000  0.000
Be  0.500  0.000  0.623
Be  0.000  0.500  0.377
Cu  0.500  0.500  0.500
Pt  0.000  0.000  0.500
Pt  0.500  0.000  0.869
Pt  0.000  0.500  0.131

=====

[3]
Compound: KBaSc2I
Source: the Alexandria database
Functional: PBE-GGA
Structure: optimized geometry

Output
Energy relative to the lowest polymorph listed for this composition in eV/atom: 0.014
Uncorrected formation energy in eV/atom: 0.29
Symmetry: P4/mmm (123)
Total energy in eV per cell: -15.76

abc: 5.591 6.679 5.591
angles: 90.00 90.00 90.00
Sites, in units of the cell vectors:
I  0.000  0.000  0.000
Sc  0.000  0.000  0.500
Sc  0.500  0.000  0.000
K  0.500  0.500  0.500
Ba  0.000  0.500  0.000

=====

[4]
Compound: Be3ReH
Source: the Alexandria database
Functional: PBE-GGA
Structure: optimized geometry

Output
Energy relative to the lowest polymorph listed for this composition in eV/atom: 1.804
Symmetry: Pm-3m (221)
Total energy in eV per cell: -17.81

abc: 4.331 4.331 4.331
angles: 90.00 90.00 90.00
Sites, in units of the cell vectors:
Re  0.000  0.000  0.000
H  0.500  0.500  0.500
Be  0.000  0.500  0.000
Be  0.000  0.000  0.500
Be  0.500  0.000  0.000

=====

[5]
Compound: PmBiS4
Source: the Alexandria database
Functional: PBE-GGA
Structure: optimized geometry

Output
Uncorrected formation energy in eV/atom: -0.79
Symmetry: C2/c (15)
Total energy in eV per cell: -59.81

abc: 7.251 5.607 8.544
angles: 108.83 114.85 90.72
Sites, in units of the cell vectors:
Pm  0.377  0.627  0.254
Pm  0.623  0.373  0.746
Bi  0.126  0.876  0.751
Bi  0.874  0.124  0.249
S  0.999  0.253  0.999
S  0.499  0.745  0.999
S  0.252  0.498  0.501
S  0.748  0.502  0.499
S  0.251  0.997  0.499
S  0.501  0.255  0.001
S  0.749  0.003  0.501
S  0.001  0.747  0.001

=====

[6]
Compound: PmNdGdTl
Source: the Alexandria database
Functional: PBE-GGA
Structure: optimized geometry

Output
Symmetry: F-43m (216)
Total energy in eV per cell: -26.20
Formation energy from the elements in eV/atom: -0.059

abc: 5.578 5.578 5.578
angles: 60.00 60.00 60.00
Sites, in units of the cell vectors:
Tl  0.000  0.000  0.000
Gd  0.250  0.250  0.250
Nd  0.750  0.750  0.750
Pm  0.500  0.500  0.500